Computed, not measured: crystalline DyTm3Co at its relaxed geometry at the GGA-PBE level of DFT.

Calculated values
**Total magnetization**: 0.0 μB per formula unit
**DOS(E_F)**: 1.124 states/eV per atom
**Energy relative to the lowest polymorph listed for this composition**: 0.00 eV per formula unit
**Energy relative to the elements**: -84 meV per atom
**Mass density**: 8.70 g cm⁻³
**Space-group type**: No. 63

a b c (Å): 6.1576 6.1576 7.7365
angles (deg): 90.00 90.00 108.67
Fractional positions:
Dy  0.2389  0.7611  0.7500
Dy  0.7611  0.2389  0.2500
Tm  0.2401  0.7599  0.2500
Tm  0.2562  0.2562  0.0000
Tm  0.2562  0.2562  0.5000
Tm  0.7438  0.7438  0.0000
Tm  0.7438  0.7438  0.5000
Tm  0.7599  0.2401  0.7500
Co  0.4996  0.5004  0.2500
Co  0.5004  0.4996  0.7500